No. 1
The following is a PBE-GGA calculation of an optimized crystal structure of Ce2HfGe, from Alexandria.

* polymorph energy (0 for the lowest one): 0.3854 eV/atom
* ΔH_f (0 K): 24 kJ/mol of formula units

Geometry as POSCAR:
```
Ce2HfGe
1.0
3.097 0.000 0.000
1.548 2.682 0.000
1.548 0.894 11.225
Ge Ce Hf
1 2 1
direct
0.500 0.500 0.500 Ge
0.090 0.090 0.729 Ce
0.910 0.910 0.271 Ce
0.000 0.000 0.000 Hf
```

---

No. 2
The following is a PBE-GGA calculation of an optimized crystal structure of Na2BeCuAs2, from Alexandria.

* ΔH_f (0 K): -184 kJ/mol of formula units

Geometry as POSCAR:
```
Na2BeCuAs2
1.0
5.566 0.000 0.000
0.000 5.517 0.000
-2.783 -2.759 7.111
As Be Cu Na
4 2 2 4
direct
0.374 0.601 0.203 As
0.171 0.899 0.797 As
0.626 0.399 0.797 As
0.829 0.101 0.203 As
0.500 0.250 0.000 Be
0.500 0.750 0.000 Be
0.000 0.250 0.000 Cu
0.000 0.750 0.000 Cu
0.407 0.176 0.352 Na
0.946 0.676 0.352 Na
0.593 0.824 0.648 Na
0.054 0.324 0.648 Na
```

---

No. 3
The following is a PBE-GGA calculation of an optimized crystal structure of RbTlH3, from Alexandria.

* polymorph energy (0 for the lowest one): 0.0000 eV/atom

Geometry as POSCAR:
```
RbTlH3
1.0
-4.210 0.177 0.727
-1.081 -0.920 -6.035
-0.143 -9.360 1.453
H Tl Rb
6 2 2
direct
0.500 0.414 0.000 H
0.500 0.847 0.524 H
0.500 0.914 0.000 H
0.500 0.411 0.545 H
0.500 0.911 0.455 H
0.500 0.347 0.476 H
0.500 0.664 0.836 Tl
0.500 0.164 0.164 Tl
0.000 0.664 0.181 Rb
0.000 0.164 0.819 Rb
```

---

No. 4
The following is a PBE-GGA calculation of an optimized crystal structure of LuZrMn4, from Alexandria.

* ΔH_f (0 K): -48 kJ/mol of formula units

Geometry as POSCAR:
```
LuZrMn4
1.0
-1.427 -4.783 -0.242
-0.511 -2.670 4.193
-4.551 -1.332 1.575
Lu Mn Zr
1 4 1
direct
0.000 0.000 0.000 Lu
0.625 0.126 0.625 Mn
0.625 0.625 0.625 Mn
0.126 0.625 0.625 Mn
0.625 0.625 0.126 Mn
0.250 0.250 0.250 Zr
```

---

No. 5
The following is a PBE-GGA calculation of an optimized crystal structure of Tl2TeBr, from Alexandria.

* polymorph energy (0 for the lowest one): 0.0935 eV/atom
* formation energy from raw total energies: -389 meV per atom

Geometry as POSCAR:
```
Tl2TeBr
1.0
2.634 3.452 3.603
-2.507 4.766 1.685
-1.855 0.488 5.307
Tl Br Te
2 1 1
direct
0.750 0.750 0.750 Tl
0.250 0.250 0.250 Tl
0.000 0.000 0.000 Br
0.500 0.500 0.500 Te
```

---

No. 6
The following is a PBE-GGA calculation of an optimized crystal structure of UGaGeS, from Alexandria.

* formation energy from raw total energies: -521 meV per atom

Geometry as POSCAR:
```
UGaGeS
1.0
4.383 0.000 0.000
0.000 4.383 0.000
0.000 0.000 8.290
S Ga Ge U
2 2 2 2
direct
0.500 0.500 0.500 S
0.000 0.000 0.500 S
0.000 0.000 0.000 Ga
0.500 0.500 0.000 Ga
0.500 0.000 0.184 Ge
0.000 0.500 0.816 Ge
0.500 0.000 0.699 U
0.000 0.500 0.301 U
```

---

No. 7
The following is a PBE-GGA calculation of an optimized crystal structure of Sr2ZnSb4Rh3, from Alexandria.

* formation energy from raw total energies: -635 meV per atom

Geometry as POSCAR:
```
Sr2ZnSb4Rh3
1.0
-1.607 0.395 -4.305
2.736 -3.463 -1.339
-7.873 -7.104 2.288
Rh Sb Sr Zn
3 4 2 1
direct
0.000 0.500 0.121 Rh
0.000 0.000 0.500 Rh
0.500 0.000 0.879 Rh
0.500 0.000 0.636 Sb
0.000 0.500 0.364 Sb
0.000 0.000 0.000 Sb
0.500 0.500 0.000 Sb
0.000 0.500 0.748 Sr
0.500 0.000 0.252 Sr
0.500 0.500 0.500 Zn
```

---

No. 8
The following is a PBE-GGA calculation of an optimized crystal structure of Ho8MgC4, from Alexandria.

* ΔH_f (0 K): -301 kJ/mol of formula units

Geometry as POSCAR:
```
Ho8MgC4
1.0
3.510 0.000 0.760
1.604 8.819 1.078
-0.157 -0.024 9.204
Ho C Mg
8 4 1
direct
0.814 0.344 0.029 Ho
0.474 0.356 0.696 Ho
0.853 0.985 0.309 Ho
0.154 0.322 0.371 Ho
0.218 0.659 0.905 Ho
0.179 0.018 0.624 Ho
0.558 0.647 0.237 Ho
0.878 0.682 0.563 Ho
0.365 0.835 0.435 C
0.184 0.495 0.137 C
0.847 0.509 0.796 C
0.666 0.169 0.498 C
0.516 0.001 0.967 Mg
```

---

No. 9
The following is a PBE-GGA calculation of an optimized crystal structure of Ce3SnGe2, from Alexandria.

* ΔH_f (0 K): -323 kJ/mol of formula units

Geometry as POSCAR:
```
Ce3SnGe2
1.0
-3.339 -3.028 0.365
-0.012 -0.498 -4.243
6.854 -4.125 0.465
Ce Ge Sn
3 2 1
direct
0.322 0.000 0.644 Ce
0.500 0.500 0.000 Ce
0.678 0.000 0.356 Ce
0.848 0.500 0.695 Ge
0.152 0.500 0.305 Ge
0.000 0.000 0.000 Sn
```

---

No. 10
The following is a PBE-GGA calculation of an optimized crystal structure of ZrHgRh3, from Alexandria.

* polymorph energy (0 for the lowest one): 0.0000 eV/atom
* ΔH_f (0 K): 375 kJ/mol of formula units

Geometry as POSCAR:
```
ZrHgRh3
1.0
-4.560 0.111 1.512
0.804 -3.886 2.709
1.286 2.824 3.669
Zr Rh Hg
1 3 1
direct
0.000 0.000 0.000 Zr
0.000 0.500 0.000 Rh
0.500 0.000 0.000 Rh
0.000 0.000 0.500 Rh
0.500 0.500 0.500 Hg
```

---

No. 11
The following is a PBE-GGA calculation of an optimized crystal structure of PrGaSi, from Alexandria.

* formation energy from raw total energies: -690 meV per atom

Geometry as POSCAR:
```
PrGaSi
1.0
-3.900 -1.465 -0.465
-0.834 -2.010 -5.576
-0.062 -5.970 0.432
Si Pr Ga
2 2 2
direct
0.500 0.336 0.664 Si
0.500 0.664 0.336 Si
0.247 0.253 0.253 Pr
0.753 0.747 0.747 Pr
0.000 0.832 0.168 Ga
0.000 0.168 0.832 Ga
```

---

No. 12
The following is a PBE-GGA calculation of an optimized crystal structure of PPdSeN2, from Alexandria.

* polymorph energy (0 for the lowest one): 0.0000 eV/atom
* formation energy from raw total energies: 796 meV per atom

Geometry as POSCAR:
```
PPdSeN2
1.0
-1.147 3.027 -1.030
0.868 -0.759 -3.196
-6.237 -2.721 -1.048
Se P N Pd
1 1 2 1
direct
0.000 0.000 0.500 Se
0.000 0.000 0.000 P
0.000 0.500 0.000 N
0.500 0.000 0.000 N
0.500 0.500 0.500 Pd
```

---

Calculated density, record by record: 9.47 4.08 3.87 9.15 8.05 8.60 7.46 8.08 7.65 8.99 6.10 5.11 g cm⁻³